Here is crystalline Zn3Fe2Cu10Sn5Se20 at its relaxed geometry from Alexandria. Energies are from PBE.

* final energy: -4.1228 eV/atom
* total magnetic moment: 7.703 μB per formula unit

Cell and atoms, written as POSCAR:
```
Zn3Fe2Cu10Sn5Se20
1.0
7.0299 -0.0028 0.0007
4.6698 5.2547 0.0007
0.1446 0.0649 25.7459
Zn Fe Cu Sn Se
3 2 10 5 20
Cartesian
9.9463 3.2009 20.5921
5.1431 4.2003 0.0007
2.8424 0.0120 5.1553
5.1988 1.0749 10.3123
7.5861 2.1465 15.4350
6.4293 4.7873 21.8795
6.3480 1.5849 6.4561
3.9903 0.5321 1.2876
4.0835 3.7180 16.7215
8.7236 2.6437 11.5888
6.4413 1.6267 19.2913
3.9943 3.6943 3.8678
8.7948 2.6888 24.4597
4.0713 0.5554 14.1585
6.3523 4.7365 9.0258
2.9183 0.0458 17.9925
7.5043 2.1054 2.5881
5.2838 1.1087 23.1592
5.2130 4.2382 12.8737
9.8705 3.1666 7.7548
6.3494 3.0562 17.3141
8.6840 4.1578 22.5295
10.9109 5.1561 1.9408
1.5758 0.9491 7.0945
3.9623 1.9781 12.1828
1.6573 1.1202 20.0438
4.0215 2.1783 25.1953
6.2407 3.1774 4.6270
8.6270 4.3055 9.8040
6.3412 0.1295 14.9382
5.3226 2.7653 21.1203
7.5440 3.7595 0.5520
9.9058 4.8229 5.7035
7.5332 0.6646 10.8091
2.8937 1.7319 15.9433
0.7404 0.5906 23.8065
2.9663 1.5912 3.2178
5.3409 2.6035 8.4332
7.7329 3.6707 13.5645
10.0878 4.7701 18.6528
```

---

Here is crystalline SiHg2Mo at its relaxed geometry from Alexandria. Energies are from PBE.

* final energy: -3.7635 eV/atom
* total magnetic moment: 0.000 μB per formula unit

Cell and atoms, written as POSCAR:
```
SiHg2Mo
1.0
-4.5382 0.0575 -2.2388
-4.1397 -2.8435 -0.6227
-3.3846 1.4100 3.3655
Hg Mo Si
2 1 1
Cartesian
-11.8625 -1.3726 0.4609
-9.1439 -1.0356 0.3955
-5.9679 -0.8793 -0.1070
-3.1819 -0.1526 0.5105
```

---

Here is crystalline Er3ZnFe at its relaxed geometry from Alexandria. Energies are from PBE.

* calculated formation energy: -126 meV/atom
* total magnetic moment: 0.803 μB per formula unit

Cell and atoms, written as POSCAR:
```
Er3ZnFe
1.0
-2.4935 -5.0140 1.1456
0.6883 -4.1151 -3.9067
5.7697 -6.2835 2.5157
Er Zn Fe
6 2 2
Cartesian
4.4698 -8.2585 1.3457
-0.5054 -7.1541 -1.5911
4.3837 -4.9975 1.8716
-0.4192 -10.4150 -2.1170
2.6108 -10.6528 -0.2510
1.3536 -4.7598 0.0057
1.3243 -7.8921 0.9221
2.6402 -7.5204 -1.1674
-0.3074 -4.3964 -2.3256
-1.4978 -4.7327 -0.4355
```

---

Here is crystalline Tm2SbSe at its relaxed geometry from Alexandria. Energies are from PBE.

* total magnetic moment: 0.000 μB per formula unit
* ΔE to the lowest computed polymorph: 0.0 meV per atom

Cell and atoms, written as POSCAR:
```
Tm2SbSe
1.0
-3.3903 1.4444 1.9636
-3.3455 -4.0092 -2.8273
1.2776 -5.4473 6.2128
Tm Sb Se
4 2 2
Cartesian
1.1044 -4.7087 5.3704
0.4897 -2.0878 2.3813
-2.5800 -4.6419 3.3997
-3.1947 -2.0211 0.4106
-0.5568 -6.7629 4.0133
-1.5335 0.0331 1.7677
-0.9013 -2.6627 4.8424
-1.1890 -4.0670 0.9386
```

---

Here is crystalline Sc3AgPt at its relaxed geometry from Alexandria. Energies are from PBE.

* calculated formation energy: -223 meV/atom
* total magnetic moment: 0.000 μB per formula unit
* ΔE to the lowest computed polymorph: 378.5 meV per atom

Cell and atoms, written as POSCAR:
```
Sc3AgPt
1.0
-0.6533 -3.7129 -3.3997
4.7474 -1.5950 0.8296
-1.6749 -3.0726 3.6775
Sc Ag Pt
3 1 1
Cartesian
2.3737 -0.7975 0.4148
-0.8375 -1.5363 1.8387
-0.3267 -1.8564 -1.6999
1.2096 -4.1902 0.5537
0.0000 0.0000 0.0000
```

---

Here is crystalline CaCd5Hg2 at its relaxed geometry from Alexandria. Energies are from PBE.

* calculated formation energy: -172 meV/atom
* total magnetic moment: 0.000 μB per formula unit

Cell and atoms, written as POSCAR:
```
CaCd5Hg2
1.0
3.8341 0.0000 0.0000
1.9171 7.2212 -0.3168
1.9171 1.8705 6.9819
Ca Cd Hg
1 5 2
Cartesian
0.0000 0.0000 0.0000
1.9171 4.5458 3.3326
3.8341 4.4418 0.9335
3.8341 4.6499 5.7317
3.8341 6.8651 2.7100
3.8341 2.2266 3.9551
5.7512 6.9899 5.1243
1.9171 2.1018 1.5408
```

---

Here is crystalline Be2AlB at its relaxed geometry from Alexandria. Energies are from PBE.

* calculated formation energy: 116 meV/atom
* total magnetic moment: 0.000 μB per formula unit
* ΔE to the lowest computed polymorph: 94.4 meV per atom

Cell and atoms, written as POSCAR:
```
Be2AlB
1.0
6.4118 0.0000 0.0049
0.0000 3.2982 0.0000
-5.2260 0.0000 7.5504
Be B Al
8 4 4
Cartesian
3.2984 0.0000 0.5437
0.6854 1.6491 4.3190
-1.9338 0.0000 3.9125
0.6791 1.6491 0.1373
1.4093 0.0000 1.4510
-1.2037 1.6491 5.2262
0.0451 0.0000 3.0208
-2.5679 1.6491 6.7960
-1.7807 0.0000 6.0253
0.8323 1.6491 2.2501
-0.2366 0.0000 4.9463
2.3764 1.6491 1.1711
0.1974 0.0000 7.1424
2.8104 1.6491 3.3672
2.3400 0.0000 5.5441
4.9530 1.6491 1.7689
```

---

Here is crystalline NaIn3Ge at its relaxed geometry from Alexandria. Energies are from PBE.

* calculated formation energy: 697 meV/atom
* total magnetic moment: 0.000 μB per formula unit
* ΔE to the lowest computed polymorph: 707.0 meV per atom

Cell and atoms, written as POSCAR:
```
NaIn3Ge
1.0
-2.1296 3.6083 -3.4572
-3.7495 1.3306 3.6984
3.3035 3.8362 1.9690
Na Ge In
1 1 3
Cartesian
0.0000 0.0000 0.0000
-1.2878 4.3875 1.1051
-1.8747 0.6653 1.8492
1.6518 1.9181 0.9845
-1.0648 1.8041 -1.7286
```

---

Here is crystalline SmTmSi at its relaxed geometry from Alexandria. Energies are from PBE.

* total magnetic moment: 0.000 μB per formula unit
* ΔE to the lowest computed polymorph: 230.0 meV per atom

Cell and atoms, written as POSCAR:
```
SmTmSi
1.0
-1.0668 0.9927 3.5541
2.6129 -2.4092 1.4572
2.5364 4.2927 -2.5134
Si Tm Sm
1 1 1
Cartesian
1.8076 1.9578 -0.0043
1.7009 0.2966 2.5034
3.6636 2.4225 2.4988
```

---

Here is crystalline KIr2Pb at its relaxed geometry from Alexandria. Energies are from PBE.

* calculated formation energy: 951 meV/atom
* total magnetic moment: 0.723 μB per formula unit

Cell and atoms, written as POSCAR:
```
KIr2Pb
1.0
-2.7987 2.8078 -2.8065
2.8067 -0.9948 -3.8373
-1.9739 -3.6097 2.5819
Ir K Pb
2 1 1
Cartesian
0.0000 0.0000 0.0000
0.4184 -1.8490 -2.2887
0.0040 0.9065 -3.3219
-2.3843 0.0523 -1.7733
```

---

Here is crystalline HfBe2Cu at its relaxed geometry from Alexandria. Energies are from PBE.

* calculated formation energy: -22 meV/atom
* total magnetic moment: 0.000 μB per formula unit
* ΔE to the lowest computed polymorph: 90.1 meV per atom

Cell and atoms, written as POSCAR:
```
HfBe2Cu
1.0
2.8700 0.0000 0.0000
0.0000 2.8700 0.0000
0.0000 0.0000 6.0953
Be Hf Cu
2 1 1
Cartesian
0.0000 0.0000 4.9022
0.0000 0.0000 1.1931
1.4350 1.4350 3.0476
1.4350 1.4350 0.0000
```

---

Here is crystalline SbAsCl2 at its relaxed geometry from Alexandria. Energies are from PBE.

* total magnetic moment: 0.000 μB per formula unit
* ΔE to the lowest computed polymorph: 458.9 meV per atom

Cell and atoms, written as POSCAR:
```
SbAsCl2
1.0
-3.0035 1.2511 1.1327
2.1256 -1.8931 1.9409
4.7885 8.6262 3.1697
Sb As Cl
1 1 2
Cartesian
2.4278 4.3735 1.6071
3.1628 6.1673 3.9210
4.5057 8.1168 2.9825
0.9970 2.2657 2.4873
```

---

Here is crystalline NdGd2Lu at its relaxed geometry from Alexandria. Energies are from PBE.

* calculated formation energy: 32 meV/atom
* total magnetic moment: 14.723 μB per formula unit
* ΔE to the lowest computed polymorph: 9.8 meV per atom

Cell and atoms, written as POSCAR:
```
NdGd2Lu
1.0
-1.4971 2.3029 2.3088
-3.1730 -1.6146 -0.4470
2.1085 -6.2470 7.5984
Gd Lu Nd
2 1 1
Cartesian
1.5965 -4.7299 5.7531
0.5120 -1.5171 1.8452
-2.3350 0.3441 0.9309
-1.2808 -2.7794 4.7301
```

---

Here is crystalline CaCuPO4 at its relaxed geometry from Alexandria. Energies are from PBE.

* final energy: -6.6227 eV/atom
* total magnetic moment: 0.000 μB per formula unit

Cell and atoms, written as POSCAR:
```
CaCuPO4
1.0
-2.9997 2.8753 -3.8421
-5.4132 -2.4572 -1.7805
-4.1235 4.1179 2.1332
Ca Cu P O
2 2 2 8
Cartesian
0.0000 0.0000 0.0000
-4.7684 0.8304 0.1763
-3.5616 3.4966 -0.8545
-2.0618 2.0590 1.0666
-5.9044 0.7517 -3.1635
-6.6321 3.7843 -0.3259
-9.5778 3.8957 -2.1108
-7.5129 2.5630 -0.5523
-5.0236 1.9731 -2.9372
-2.9587 0.6404 -1.3787
-5.9977 -0.0575 -1.7733
-7.3817 1.2691 -3.5459
-5.1548 3.2669 0.0565
-6.5388 4.5935 -1.7162
```

---

Here is crystalline BePb3 at its relaxed geometry from Alexandria. Energies are from PBE.

* calculated formation energy: 606 meV/atom
* total magnetic moment: 0.000 μB per formula unit
* ΔE to the lowest computed polymorph: 350.1 meV per atom

Cell and atoms, written as POSCAR:
```
BePb3
1.0
6.1672 0.0002 0.0007
-2.7501 5.5201 0.0007
-2.7501 -4.4427 3.2764
Pb Be
3 1
Cartesian
1.7086 -2.2212 1.6386
1.7086 2.7602 0.0007
-2.7501 0.5387 1.6386
0.0000 0.0000 0.0000
```

---

Here is crystalline La6Bi2Sb3Se at its relaxed geometry from Alexandria. Energies are from PBE.

* final energy: -5.7563 eV/atom
* total magnetic moment: 0.000 μB per formula unit

Cell and atoms, written as POSCAR:
```
La6Bi2Sb3Se
1.0
-1.6866 -0.6055 -4.2458
-6.9977 -4.8888 3.4770
-2.6681 9.6928 2.1786
La Bi Sb Se
6 2 3 1
Cartesian
-8.8162 1.8090 3.2442
-6.1084 -0.0628 -0.0656
-2.5362 2.3895 -1.8344
-6.0544 7.8478 -1.2152
-5.2980 -3.6493 2.6251
-5.2440 4.2614 1.4754
-7.8743 2.7144 0.2399
-3.4781 1.4841 1.1700
-4.3421 -2.7471 -0.3844
-4.3326 5.1316 -1.5118
-7.0199 -0.9330 2.9217
-0.8433 -0.3028 -2.1229
```

---

Here is crystalline Ba2MgNiI at its relaxed geometry from Alexandria. Energies are from PBE.

* final energy: -3.0020 eV/atom
* total magnetic moment: 0.000 μB per formula unit

Cell and atoms, written as POSCAR:
```
Ba2MgNiI
1.0
-2.2040 -4.6162 -3.2810
5.2584 -2.9754 0.6539
-1.7200 -2.1279 4.1493
I Ni Mg Ba
1 1 1 2
Cartesian
0.6672 -4.8597 0.7611
0.0000 0.0000 0.0000
-0.8600 -1.0639 2.0746
2.6292 -1.4877 0.3270
-1.1020 -2.3081 -1.6405
```

---

Here is crystalline Pu3Tc3Ge8 at its relaxed geometry from Alexandria. Energies are from PBE.

* calculated formation energy: -225 meV/atom
* total magnetic moment: 15.123 μB per formula unit

Cell and atoms, written as POSCAR:
```
Pu3Tc3Ge8
1.0
-0.8476 -0.6366 -4.1300
-6.5085 -4.9508 -0.1022
-6.0844 5.1767 -1.7502
Pu Tc Ge
3 3 8
Cartesian
-6.7202 -0.2053 -2.9912
-2.8512 -0.4894 -3.7414
-10.5893 0.0788 -2.2409
-0.4238 -0.3183 -2.0650
-6.4149 -2.7170 -0.4657
-6.1779 2.9429 -1.3867
-5.1599 2.6305 -3.7485
-8.2805 -3.0411 -2.2338
-5.4063 -3.2522 -2.7912
-8.0342 2.8415 -3.1911
-9.1459 -1.6580 -4.4704
-4.2945 1.2474 -1.5119
-9.0389 0.8969 -4.8862
-4.4015 -1.3076 -1.0961
```

---

Here is crystalline NdZn4Ga12 at its relaxed geometry from Alexandria. Energies are from PBE.

* calculated formation energy: -13 meV/atom
* total magnetic moment: 0.000 μB per formula unit

Cell and atoms, written as POSCAR:
```
NdZn4Ga12
1.0
7.6298 0.0000 0.0000
-2.5433 7.1934 0.0000
-2.5433 -3.5967 6.2297
Nd Zn Ga
1 4 12
Cartesian
0.0000 0.0000 0.0000
-1.2716 3.5967 0.0000
3.8149 0.0000 0.0000
1.2716 1.7984 3.1148
-1.2716 -1.7984 3.1148
5.0580 1.8185 1.2630
1.0312 3.0923 0.9434
4.0553 -1.2336 4.0233
0.0285 -1.5937 5.2863
-1.5120 4.8303 2.2064
1.5120 0.5044 5.2863
2.5717 -0.1845 2.2064
-0.0285 3.7812 4.0233
2.5148 5.1904 0.9434
3.5745 2.8675 3.0800
-1.0312 0.7292 3.1497
-2.5148 1.7782 4.9667
```

---

Here is crystalline TbDyCoAu at its relaxed geometry from Alexandria. Energies are from PBE.

* calculated formation energy: -434 meV/atom
* total magnetic moment: 0.516 μB per formula unit

Cell and atoms, written as POSCAR:
```
TbDyCoAu
1.0
4.9423 0.0000 0.0000
2.4712 4.2802 0.0000
2.4712 1.4267 4.0354
Tb Co Au Dy
1 1 1 1
Cartesian
7.4135 4.2802 3.0265
4.9423 2.8535 2.0177
0.0000 0.0000 0.0000
2.4712 1.4267 1.0088
```

---

Here is crystalline HfMn at its relaxed geometry from Alexandria. Energies are from PBE.

* calculated formation energy: 449 meV/atom
* total magnetic moment: 2.242 μB per formula unit

Cell and atoms, written as POSCAR:
```
HfMn
1.0
5.2683 0.0000 0.0000
0.0000 5.2683 0.0000
0.0000 0.0000 5.2878
Hf Mn
4 4
Cartesian
1.0397 1.0397 0.0000
3.6738 1.5944 2.6439
1.5944 3.6738 2.6439
4.2285 4.2285 0.0000
1.6840 3.5843 0.0000
4.3181 4.3181 2.6439
0.9501 0.9501 2.6439
3.5843 1.6840 0.0000
```

---

Here is crystalline TeBr at its relaxed geometry from Alexandria. Energies are from PBE.

* final energy: -1.9891 eV/atom
* total magnetic moment: 0.000 μB per formula unit

Cell and atoms, written as POSCAR:
```
TeBr
1.0
6.3331 0.0000 0.0000
0.0000 6.3331 0.0000
0.0000 0.0000 6.3331
Te Br
4 4
Cartesian
3.1666 3.1666 3.1666
3.1666 0.0000 0.0000
0.0000 3.1666 0.0000
0.0000 0.0000 3.1666
0.0000 0.0000 0.0000
0.0000 3.1666 3.1666
3.1666 0.0000 3.1666
3.1666 3.1666 0.0000
```

---

Here is crystalline BaCa2Au2 at its relaxed geometry from Alexandria. Energies are from PBE.

* calculated formation energy: -642 meV/atom
* total magnetic moment: 0.000 μB per formula unit
* ΔE to the lowest computed polymorph: 0.0 meV per atom

Cell and atoms, written as POSCAR:
```
BaCa2Au2
1.0
4.4641 0.0000 0.0000
-2.2320 7.4457 0.0000
0.0000 0.0000 9.7049
Ba Ca Au
2 4 4
Cartesian
0.0000 5.9835 3.3854
2.2320 1.4623 8.2379
0.0000 4.7275 9.4663
2.2320 2.7182 4.6138
0.0000 1.6550 1.9466
2.2320 5.7908 6.7991
0.0000 3.7306 6.5196
2.2320 3.7151 1.6671
2.2320 6.7306 0.0759
0.0000 0.7151 4.9284
```